(1)
First-principles (meta-GGA SCAN) data for NaCoBi2Br at its PBEsol-relaxed geometry, as listed in Alexandria.

Unit cell a=5.0310 b=5.4742 c=5.4742 alpha=90.00 beta=90.00 gamma=90.00
With the nearest neighbours (Å) after each atom.
Fractional coordinates of all 5 atoms:
Na: 0.0000 0.0000 0.0000  2 Br 2.52, 4 Bi 2.74
Co: 0.5000 0.5000 0.5000  8 Bi 3.72, 4 Br 3.87
Bi: 0.0000 0.0000 0.5000  2 Na 2.74
Bi: 0.0000 0.5000 0.0000  2 Na 2.74
Br: 0.5000 0.0000 0.0000  2 Na 2.52

ΔE_f (raw)	415.6	kJ/mol of formula units


(2)
First-principles (meta-GGA SCAN) data for CrFe2Mo at its PBEsol-relaxed geometry, as listed in Alexandria.

Unit cell a=2.5057 b=2.5057 c=7.9734 alpha=90.00 beta=90.00 gamma=106.21
With the nearest neighbours (Å) after each atom.
Fractional coordinates of all 4 atoms:
Cr: 0.5000 0.5000 0.0000  4 Fe 2.40, 4 Cr 2.51
Fe: 0.0000 0.0000 0.2352  2 Cr 2.40, 4 Fe 2.51, 2 Mo 2.59
Fe: 0.0000 0.0000 0.7648  2 Cr 2.40, 4 Fe 2.51, 2 Mo 2.59
Mo: 0.5000 0.5000 0.5000  4 Mo 2.51, 4 Fe 2.59

energy relative to the elements	0.68	eV/f.u.
ΔE to the lowest computed polymorph	35	meV/atom


(3)
First-principles (meta-GGA SCAN) data for ZrBrN at its PBEsol-relaxed geometry, as listed in Alexandria.

Unit cell a=3.5869 b=4.1040 c=8.9731 alpha=90.00 beta=90.00 gamma=90.00
With the nearest neighbours (Å) after each atom.
Fractional coordinates of all 6 atoms:
Zr: 0.5000 0.0000 0.9024  4 N 2.14
Zr: 0.0000 0.5000 0.0976  4 N 2.14
Br: 0.0000 0.0000 0.6708  2 Zr 2.75
Br: 0.5000 0.5000 0.3292  2 Zr 2.75
N: 0.0000 0.0000 0.0316  4 Zr 2.14
N: 0.5000 0.5000 0.9684  4 Zr 2.14

ΔE_f (raw)	-547.0	kJ/mol of formula units


(4)
First-principles (meta-GGA SCAN) data for LiLa2Cd2 at its PBEsol-relaxed geometry, as listed in Alexandria.

Unit cell a=5.0808 b=7.3263 c=7.3263 alpha=90.00 beta=90.00 gamma=90.00
With the nearest neighbours (Å) after each atom.
Fractional coordinates of all 10 atoms:
Cd: 0.0000 0.3545 0.8545  2 Li 2.81, 1 Cd 3.02
Cd: 0.0000 0.8545 0.6455  2 Li 2.81, 1 Cd 3.02
Cd: 0.0000 0.6455 0.1455  2 Li 2.81, 1 Cd 3.02
Cd: 0.0000 0.1455 0.3545  2 Li 2.81, 1 Cd 3.02
Li: 0.0000 0.0000 0.0000  4 Cd 2.81
Li: 0.0000 0.5000 0.5000  4 Cd 2.81
La: 0.5000 0.1512 0.6512  1 La 3.13, 6 Cd 3.30-3.34
La: 0.5000 0.6512 0.8488  1 La 3.13, 6 Cd 3.30-3.34
La: 0.5000 0.8488 0.3488  1 La 3.13, 6 Cd 3.30-3.34
La: 0.5000 0.3488 0.1512  1 La 3.13, 6 Cd 3.30-3.34

energy relative to the elements	-1.43	eV/f.u.


(5)
First-principles (meta-GGA SCAN) data for Na3TbV2O8 at its PBEsol-relaxed geometry, as listed in Alexandria.

Unit cell a=5.5107 b=13.9200 c=14.8328 alpha=91.45 beta=100.71 gamma=90.00
With the nearest neighbours (Å) after each atom.
Fractional coordinates of all 84 atoms:
Na: 0.7251 0.4209 0.4288  3 O 2.29-2.44
Na: 0.7037 0.9209 0.4288  3 O 2.29-2.44
Na: 0.8775 0.3256 0.6730  3 O 2.26-2.47
Na: 0.7955 0.8256 0.6730  3 O 2.26-2.47
Na: 0.5493 0.0792 0.2197  5 O 2.31-2.53
Na: 0.6705 0.5792 0.2197  5 O 2.31-2.53
Na: 0.5532 0.2382 0.0106  5 O 2.30-2.49
Na: 0.4574 0.7382 0.0106  5 O 2.30-2.49
Na: 0.9531 0.9989 0.8751  4 O 2.27-2.51
Na: 0.9220 0.4989 0.8751  4 O 2.27-2.51
Na: 0.4094 0.3856 0.7979  5 O 2.31-2.58
Na: 0.3885 0.8856 0.7979  5 O 2.31-2.58
Na: 0.0462 0.1493 0.1103  6 O 2.38-2.59
Na: 0.0642 0.6493 0.1103  6 O 2.38-2.59
Na: 0.3207 0.4793 0.5524  3 O 2.26-2.48
Na: 0.2317 0.9793 0.5524  3 O 2.26-2.48
Na: 0.1485 0.2979 0.3530  4 O 2.30-2.52
Na: 0.2045 0.7979 0.3530  4 O 2.30-2.52
Tb: 0.3280 0.6344 0.7719  7 O 2.24-2.49
Tb: 0.4438 0.1344 0.7719  7 O 2.24-2.49
Tb: 0.1517 0.3975 0.1166  6 O 2.27-2.33
Tb: 0.9648 0.8975 0.1166  6 O 2.27-2.33
Tb: 0.6696 0.1714 0.4574  7 O 2.23-2.47
Tb: 0.7878 0.6714 0.4574  7 O 2.23-2.47
V: 0.2805 0.2478 0.5686  4 O 1.69-1.73
V: 0.2881 0.7478 0.5686  4 O 1.69-1.73
V: 0.9805 0.2525 0.8931  4 O 1.69-1.74
V: 0.9127 0.7525 0.8931  4 O 1.69-1.74
V: 0.8324 0.0569 0.6591  4 O 1.69-1.73
V: 0.8267 0.5569 0.6591  4 O 1.69-1.73
V: 0.1317 0.0496 0.3325  4 O 1.69-1.73
V: 0.2008 0.5496 0.3325  4 O 1.69-1.73
V: 0.6442 0.3111 0.2285  4 O 1.70-1.73
V: 0.5843 0.8111 0.2285  4 O 1.70-1.73
V: 0.4535 0.0011 0.0008  4 O 1.69-1.74
V: 0.5473 0.5011 0.0008  4 O 1.69-1.74
O: 0.8011 0.1508 0.8713  1 V 1.72
O: 0.0702 0.6508 0.8713  1 V 1.72
O: 0.1330 0.0318 0.7073  1 V 1.72
O: 0.5743 0.5318 0.7073  1 V 1.72
O: 0.4107 0.3936 0.0139  1 V 1.71
O: 0.6031 0.8936 0.0139  1 V 1.71
O: 0.9836 0.2750 0.5171  1 V 1.72
O: 0.5336 0.7750 0.5171  1 V 1.72
O: 0.5242 0.4232 0.2171  1 V 1.70
O: 0.6930 0.9232 0.2171  1 V 1.70
O: 0.8378 0.3421 0.8285  1 V 1.69
O: 0.9906 0.8421 0.8285  1 V 1.69
O: 0.7574 0.1713 0.6814  1 V 1.69
O: 0.9240 0.6713 0.6814  1 V 1.69
O: 0.6405 0.0821 0.0667  1 V 1.69
O: 0.4263 0.5821 0.0667  1 V 1.69
O: 0.1002 0.5232 0.2175  1 V 1.72
O: 0.1173 0.0232 0.2175  1 V 1.72
O: 0.6877 0.2810 0.3421  1 V 1.72
O: 0.6544 0.7810 0.3421  1 V 1.72
O: 0.0302 0.6482 0.3536  1 V 1.72
O: 0.3234 0.1482 0.3536  1 V 1.72
O: 0.9269 0.3036 0.1934  1 V 1.73
O: 0.2665 0.8036 0.1934  1 V 1.73
O: 0.8471 0.0778 0.3598  1 V 1.73
O: 0.5127 0.5778 0.3598  1 V 1.73
O: 0.3503 0.1336 0.5431  1 V 1.69
O: 0.1928 0.6336 0.5431  1 V 1.69
O: 0.4839 0.3141 0.5202  1 V 1.72
O: 0.0363 0.8141 0.5202  1 V 1.72
O: 0.8007 0.0363 0.5421  1 V 1.73
O: 0.7414 0.5363 0.5421  1 V 1.73
O: 0.4072 0.0269 0.8858  1 V 1.72
O: 0.4787 0.5269 0.8858  1 V 1.72
O: 0.2718 0.2319 0.8682  1 V 1.74
O: 0.5964 0.7319 0.8682  1 V 1.74
O: 0.1327 0.4576 0.3962  1 V 1.69
O: 0.2636 0.9576 0.3962  1 V 1.69
O: 0.0747 0.4904 0.7107  1 V 1.72
O: 0.6360 0.9904 0.7107  1 V 1.72
O: 0.9907 0.2793 0.0076  1 V 1.72
O: 0.0169 0.7793 0.0076  1 V 1.72
O: 0.4200 0.2437 0.1610  1 V 1.70
O: 0.7410 0.7437 0.1610  1 V 1.70
O: 0.8669 0.4948 0.0326  1 V 1.74
O: 0.1657 0.9948 0.0326  1 V 1.74
O: 0.3802 0.7671 0.6853  1 V 1.73
O: 0.3051 0.2671 0.6853  1 V 1.73

ΔE to the lowest computed polymorph	0	meV/atom
ΔE_f (raw)	-3741.2	kJ/mol of formula units


(6)
First-principles (meta-GGA SCAN) data for HfCd at its PBEsol-relaxed geometry, as listed in Alexandria.

Unit cell a=3.0596 b=3.0596 c=8.7676 alpha=90.00 beta=90.00 gamma=90.00
With the nearest neighbours (Å) after each atom.
Fractional coordinates of all 4 atoms:
Hf: 0.0000 0.5000 0.8775  8 Hf 3.05-3.06, 4 Cd 3.13
Hf: 0.5000 0.0000 0.1225  8 Hf 3.05-3.06, 4 Cd 3.13
Cd: 0.0000 0.5000 0.3798  8 Cd 3.02-3.06, 4 Hf 3.13
Cd: 0.5000 0.0000 0.6202  8 Cd 3.02-3.06, 4 Hf 3.13

energy relative to the elements	-0.24	eV/f.u.


(7)
First-principles (meta-GGA SCAN) data for Mn2C at its PBEsol-relaxed geometry, as listed in Alexandria.

Unit cell a=2.7966 b=4.3466 c=4.6169 alpha=90.00 beta=90.00 gamma=90.00
With the nearest neighbours (Å) after each atom.
Fractional coordinates of all 6 atoms:
C: 0.0000 0.0000 0.0000  6 Mn 1.91-1.93
C: 0.5000 0.5000 0.5000  6 Mn 1.91-1.93
Mn: 0.0000 0.2463 0.6521  3 C 1.91-1.93
Mn: 0.0000 0.7537 0.3479  3 C 1.91-1.93
Mn: 0.5000 0.7463 0.8479  3 C 1.91-1.93
Mn: 0.5000 0.2537 0.1521  3 C 1.91-1.93

energy relative to the elements	-0.41	eV/f.u.


(8)
First-principles (meta-GGA SCAN) data for Ba3ScO at its PBEsol-relaxed geometry, as listed in Alexandria.

Unit cell a=5.8776 b=5.8776 c=5.8776 alpha=90.00 beta=90.00 gamma=90.00
With the nearest neighbours (Å) after each atom.
Fractional coordinates of all 5 atoms:
Sc: 0.0000 0.0000 0.0000  6 Ba 2.94
Ba: 0.0000 0.5000 0.0000  2 Sc 2.94
Ba: 0.0000 0.0000 0.5000  2 Sc 2.94
Ba: 0.5000 0.0000 0.0000  2 Sc 2.94
O: 0.5000 0.5000 0.5000  12 Ba 4.16

ΔE_f (raw)	362.4	kJ/mol of formula units


no.,total DFT energy (no corrections) (eV per cell),M_tot (μB per atom),D(E_F) (states/eV/f.u.)
1,-193.83,0.4812,4.84
2,-88.85,1.0230,3.31
3,-130.24,0.0000,0.00
4,-301.73,0.0000,4.74
5,-1098.05,0.0000,0.00
6,-186.65,0.0003,1.49
7,-94.04,1.4855,1.70
8,-135.36,0.0000,5.20